# 1
The following is a PBE calculation of crystalline Dy2TmCu2 at its relaxed geometry, from the Alexandria database.

- Offset from the most stable computed form: 0.0250 eV/atom
- Size of the total moment: 0.00 μB per cell
- Energy of formation: -151 meV per atom

Geometry as CIF:
```
data_Dy2TmCu2
_cell_length_a 6.154
_cell_length_b 6.154
_cell_length_c 9.962
_cell_angle_alpha 116.91
_cell_angle_beta 116.91
_cell_angle_gamma 44.24
_symmetry_space_group_name_H-M 'P 1'
_symmetry_Int_Tables_number 1
loop_
_symmetry_equiv_pos_as_xyz
'x,y,z'
loop_
_atom_site_label
_atom_site_type_symbol
_atom_site_fract_x
_atom_site_fract_y
_atom_site_fract_z
Dy1 Dy 0.037 0.037 0.192
Dy2 Dy 0.181 0.181 0.591
Dy3 Dy 0.819 0.819 0.409
Dy4 Dy 0.963 0.963 0.808
Tm1 Tm 0.309 0.309 0.147
Tm2 Tm 0.691 0.691 0.853
Cu1 Cu 0.375 0.375 0.920
Cu2 Cu 0.447 0.447 0.588
Cu3 Cu 0.553 0.553 0.412
Cu4 Cu 0.625 0.625 0.080
```



# 2
The following is a PBE calculation of crystalline MgIrPb2 at its relaxed geometry, from the Alexandria database.

- Size of the total moment: 0.00 μB per cell
- Energy of formation: -9 meV per atom

Geometry as CIF:
```
data_MgIrPb2
_cell_length_a 3.292
_cell_length_b 3.292
_cell_length_c 8.657
_cell_angle_alpha 90.00
_cell_angle_beta 90.00
_cell_angle_gamma 90.00
_symmetry_space_group_name_H-M 'P 1'
_symmetry_Int_Tables_number 1
loop_
_symmetry_equiv_pos_as_xyz
'x,y,z'
loop_
_atom_site_label
_atom_site_type_symbol
_atom_site_fract_x
_atom_site_fract_y
_atom_site_fract_z
Mg1 Mg 0.000 0.000 0.000
Ir1 Ir 0.500 0.500 0.841
Pb1 Pb 0.000 0.000 0.632
Pb2 Pb 0.500 0.500 0.268
```



# 3
The following is a PBE calculation of crystalline MgCu2Cl at its relaxed geometry, from the Alexandria database.

- Energy relative to the elements, uncorrected: -7 kJ per mole of atoms
- Offset from the most stable computed form: 0.1922 eV/atom
- Size of the total moment: 0.00 μB per cell

Geometry as CIF:
```
data_MgCu2Cl
_cell_length_a 3.561
_cell_length_b 3.561
_cell_length_c 5.406
_cell_angle_alpha 90.00
_cell_angle_beta 90.00
_cell_angle_gamma 90.00
_symmetry_space_group_name_H-M 'P 1'
_symmetry_Int_Tables_number 1
loop_
_symmetry_equiv_pos_as_xyz
'x,y,z'
loop_
_atom_site_label
_atom_site_type_symbol
_atom_site_fract_x
_atom_site_fract_y
_atom_site_fract_z
Mg1 Mg 0.000 0.000 0.000
Cu1 Cu 0.000 0.500 0.500
Cu2 Cu 0.500 0.000 0.500
Cl1 Cl 0.500 0.500 0.000
```



# 4
The following is a PBE calculation of crystalline GaSn2RhCl at its relaxed geometry, from the Alexandria database.

- Energy relative to the elements, uncorrected: 75 kJ per mole of atoms
- Size of the total moment: 0.00 μB per cell

Geometry as CIF:
```
data_GaSn2RhCl
_cell_length_a 5.235
_cell_length_b 5.235
_cell_length_c 4.914
_cell_angle_alpha 90.00
_cell_angle_beta 90.00
_cell_angle_gamma 90.00
_symmetry_space_group_name_H-M 'P 1'
_symmetry_Int_Tables_number 1
loop_
_symmetry_equiv_pos_as_xyz
'x,y,z'
loop_
_atom_site_label
_atom_site_type_symbol
_atom_site_fract_x
_atom_site_fract_y
_atom_site_fract_z
Ga1 Ga 0.000 0.000 0.000
Sn1 Sn 0.000 0.500 0.500
Sn2 Sn 0.500 0.000 0.500
Rh1 Rh 0.500 0.500 0.000
Cl1 Cl 0.000 0.000 0.500
```